A plane-wave DFT calculation with PBE+U was carried out for an optimized crystal structure of CrRuF2.

Geometry as POSCAR:
```
CrRuF2
1.0
0.000 2.972 2.972
2.972 0.000 2.972
2.972 2.972 0.000
Ru F Cr
1 2 1
Direct
0.500 0.500 0.500
0.250 0.250 0.250
0.750 0.750 0.750
0.000 0.000 0.000
```

Computed properties:
Polymorph energy (0 for the lowest one) = 0.00 kJ per mole of atoms
Energy = -5.537 eV/atom
Spin magnetization = 1.8 μB per formula unit